# 1
A plane-wave DFT calculation with PBE was carried out for a relaxed structure of Tb4ThGa4.

DOS at the Fermi energy: 0.90 states/eV per atom
DFT formation energy: -8.526 kcal/mol of atoms
total magnetization: 0.000 μB per atom

```
data_Tb4ThGa4
_space_group_name_H-M_alt 'I 4/m'
_space_group_IT_number 87
_space_group_name_Hall '-I 4'
_cell_length_a 10.0612
_cell_length_b 10.0612
_cell_length_c 4.8357
_cell_angle_alpha 90.00
_cell_angle_beta 90.00
_cell_angle_gamma 90.00
loop_
_atom_site_label
_atom_site_type_symbol
_atom_site_fract_x
_atom_site_fract_y
_atom_site_fract_z
_atom_site_occupancy
Tb1 Tb 0.1305 0.3549 0.0000 1
Th1 Th 0.0000 0.0000 0.0000 1
Ga1 Ga 0.0744 0.1768 0.5000 1
```

---

# 2
A plane-wave DFT calculation with PBE was carried out for a relaxed structure of Tb2ThGa6.

offset from the most stable computed form: 0.000 eV/atom
DOS at the Fermi energy: 0.63 states/eV per atom
DFT formation energy: -14.879 kcal/mol of atoms
total magnetization: 0.000 μB per atom

```
data_Tb2ThGa6
_space_group_name_H-M_alt 'P 6/m m m'
_space_group_IT_number 191
_space_group_name_Hall '-P 6 2'
_cell_length_a 7.3477
_cell_length_b 7.3477
_cell_length_c 4.1707
_cell_angle_alpha 90.00
_cell_angle_beta 90.00
_cell_angle_gamma 120.00
loop_
_atom_site_label
_atom_site_type_symbol
_atom_site_fract_x
_atom_site_fract_y
_atom_site_fract_z
_atom_site_occupancy
Tb1 Tb 0.3333 0.6667 0.0000 1
Th1 Th 0.0000 0.0000 0.0000 1
Ga1 Ga 0.0000 0.3346 0.5000 1
```

---

# 3
A plane-wave DFT calculation with PBE was carried out for a relaxed structure of TbThZnGa.

DOS at the Fermi energy: 0.51 states/eV per atom
DFT formation energy: -8.974 kcal/mol of atoms
total magnetization: 0.000 μB per atom

```
data_TbThZnGa
_space_group_name_H-M_alt 'F -4 3 m'
_space_group_IT_number 216
_space_group_name_Hall 'F -4 2 3'
_cell_length_a 7.2746
_cell_length_b 7.2746
_cell_length_c 7.2746
_cell_angle_alpha 90.00
_cell_angle_beta 90.00
_cell_angle_gamma 90.00
loop_
_atom_site_label
_atom_site_type_symbol
_atom_site_fract_x
_atom_site_fract_y
_atom_site_fract_z
_atom_site_occupancy
Tb1 Tb 0.0000 0.0000 0.0000 1
Th1 Th 0.0000 0.0000 0.5000 1
Zn1 Zn 0.2500 0.2500 0.7500 1
Ga1 Ga 0.2500 0.2500 0.2500 1
```

---

# 4
A plane-wave DFT calculation with PBE was carried out for a relaxed structure of Tb2Th2ZnGa4.

DOS at the Fermi energy: 0.72 states/eV per atom
DFT formation energy: -5.811 kcal/mol of atoms
total magnetization: 0.000 μB per atom

```
data_Tb2Th2ZnGa4
_space_group_name_H-M_alt 'I 4/m m m'
_space_group_IT_number 139
_space_group_name_Hall '-I 4 2'
_cell_length_a 6.9530
_cell_length_b 6.9530
_cell_length_c 8.8844
_cell_angle_alpha 90.00
_cell_angle_beta 90.00
_cell_angle_gamma 90.00
loop_
_atom_site_label
_atom_site_type_symbol
_atom_site_fract_x
_atom_site_fract_y
_atom_site_fract_z
_atom_site_occupancy
Tb1 Tb 0.0000 0.0000 0.1902 1
Th1 Th 0.0000 0.5000 0.2500 1
Zn1 Zn 0.0000 0.0000 0.5000 1
Ga1 Ga 0.2462 0.2462 0.5000 1
```

---

# 5
A plane-wave DFT calculation with PBE was carried out for a relaxed structure of TbThZn2Ga2.

DOS at the Fermi energy: 0.41 states/eV per atom
DFT formation energy: -12.057 kcal/mol of atoms
total magnetization: 0.000 μB per atom

```
data_TbThZn2Ga2
_space_group_name_H-M_alt 'P -3 m 1'
_space_group_IT_number 164
_space_group_name_Hall '-P 3 2"'
_cell_length_a 4.4140
_cell_length_b 4.4140
_cell_length_c 7.5645
_cell_angle_alpha 90.00
_cell_angle_beta 90.00
_cell_angle_gamma 120.00
loop_
_atom_site_label
_atom_site_type_symbol
_atom_site_fract_x
_atom_site_fract_y
_atom_site_fract_z
_atom_site_occupancy
Tb1 Tb 0.0000 0.0000 0.0000 1
Th1 Th 0.0000 0.0000 0.5000 1
Zn1 Zn 0.3333 0.6667 0.7648 1
Ga1 Ga 0.3333 0.6667 0.2387 1
```

---

# 6
A plane-wave DFT calculation with PBE was carried out for a relaxed structure of TbTiGa4.

offset from the most stable computed form: 0.087 eV/atom
DOS at the Fermi energy: 0.53 states/eV per atom
DFT formation energy: -8.775 kcal/mol of atoms
total magnetization: 0.000 μB per atom

```
data_TbTiGa4
_space_group_name_H-M_alt 'F -4 3 m'
_space_group_IT_number 216
_space_group_name_Hall 'F -4 2 3'
_cell_length_a 7.5420
_cell_length_b 7.5420
_cell_length_c 7.5420
_cell_angle_alpha 90.00
_cell_angle_beta 90.00
_cell_angle_gamma 90.00
loop_
_atom_site_label
_atom_site_type_symbol
_atom_site_fract_x
_atom_site_fract_y
_atom_site_fract_z
_atom_site_occupancy
Tb1 Tb 0.0000 0.0000 0.0000 1
Ti1 Ti 0.2500 0.2500 0.2500 1
Ga1 Ga 0.1245 0.1245 0.6245 1
```

---

# 7
A plane-wave DFT calculation with PBE was carried out for a relaxed structure of TbTiGa4.

offset from the most stable computed form: 0.000 eV/atom
DOS at the Fermi energy: 0.43 states/eV per atom
DFT formation energy: -10.772 kcal/mol of atoms
total magnetization: 0.000 μB per atom

```
data_TbTiGa4
_space_group_name_H-M_alt 'C m c m'
_space_group_IT_number 63
_space_group_name_Hall '-C 2c 2'
_cell_length_a 4.0901
_cell_length_b 17.6029
_cell_length_c 6.2575
_cell_angle_alpha 90.00
_cell_angle_beta 90.00
_cell_angle_gamma 90.00
loop_
_atom_site_label
_atom_site_type_symbol
_atom_site_fract_x
_atom_site_fract_y
_atom_site_fract_z
_atom_site_occupancy
Tb1 Tb 0.0000 0.0962 0.2500 1
Ti1 Ti 0.0000 0.2310 0.7500 1
Ga1 Ga 0.0000 0.0771 0.7500 1
Ga2 Ga 0.0000 0.3377 0.0412 1
Ga3 Ga 0.0000 0.5000 0.0000 1
```

---

# 8
A plane-wave DFT calculation with PBE was carried out for a relaxed structure of TbTiGa3.

DOS at the Fermi energy: 0.98 states/eV per atom
DFT formation energy: -10.090 kcal/mol of atoms
total magnetization: 0.066 μB per atom

```
data_TbTiGa3
_space_group_name_H-M_alt 'P 63/m m c'
_space_group_IT_number 194
_space_group_name_Hall '-P 6c 2c'
_cell_length_a 6.3432
_cell_length_b 6.3432
_cell_length_c 5.7324
_cell_angle_alpha 90.00
_cell_angle_beta 90.00
_cell_angle_gamma 120.00
loop_
_atom_site_label
_atom_site_type_symbol
_atom_site_fract_x
_atom_site_fract_y
_atom_site_fract_z
_atom_site_occupancy
Tb1 Tb 0.3333 0.6667 0.2500 1
Ti1 Ti 0.0000 0.0000 0.0000 1
Ga1 Ga 0.1978 0.3956 0.7500 1
```

---

# 9
A plane-wave DFT calculation with PBE was carried out for a relaxed structure of Tb2TiGa.

offset from the most stable computed form: 0.365 eV/atom
DOS at the Fermi energy: 1.10 states/eV per atom
DFT formation energy: 5.431 kcal/mol of atoms
total magnetization: 0.555 μB per atom

```
data_Tb2TiGa
_space_group_name_H-M_alt 'R -3 m'
_space_group_IT_number 166
_space_group_name_Hall '-R 3 2"'
_cell_length_a 3.3294
_cell_length_b 3.3294
_cell_length_c 32.0723
_cell_angle_alpha 90.00
_cell_angle_beta 90.00
_cell_angle_gamma 120.00
loop_
_atom_site_label
_atom_site_type_symbol
_atom_site_fract_x
_atom_site_fract_y
_atom_site_fract_z
_atom_site_occupancy
Tb1 Tb 0.0000 0.0000 0.0937 1
Ti1 Ti 0.0000 0.0000 0.0000 1
Ga1 Ga 0.0000 0.0000 0.5000 1
```

---

# 10
A plane-wave DFT calculation with PBE was carried out for a relaxed structure of TbTiGa2.

offset from the most stable computed form: 0.134 eV/atom
DOS at the Fermi energy: 0.73 states/eV per atom
DFT formation energy: -6.924 kcal/mol of atoms
total magnetization: 0.115 μB per atom

```
data_TbTiGa2
_space_group_name_H-M_alt 'P 4/m m m'
_space_group_IT_number 123
_space_group_name_Hall '-P 4 2'
_cell_length_a 4.9117
_cell_length_b 4.9117
_cell_length_c 3.2619
_cell_angle_alpha 90.00
_cell_angle_beta 90.00
_cell_angle_gamma 90.00
loop_
_atom_site_label
_atom_site_type_symbol
_atom_site_fract_x
_atom_site_fract_y
_atom_site_fract_z
_atom_site_occupancy
Tb1 Tb 0.0000 0.0000 0.0000 1
Ti1 Ti 0.5000 0.5000 0.0000 1
Ga1 Ga 0.0000 0.5000 0.5000 1
```

---

# 11
A plane-wave DFT calculation with PBE was carried out for a relaxed structure of TbTiGa2.

offset from the most stable computed form: 0.071 eV/atom
DOS at the Fermi energy: 1.04 states/eV per atom
DFT formation energy: -8.357 kcal/mol of atoms
total magnetization: 0.243 μB per atom

```
data_TbTiGa2
_space_group_name_H-M_alt 'F m -3 m'
_space_group_IT_number 225
_space_group_name_Hall '-F 4 2 3'
_cell_length_a 6.7876
_cell_length_b 6.7876
_cell_length_c 6.7876
_cell_angle_alpha 90.00
_cell_angle_beta 90.00
_cell_angle_gamma 90.00
loop_
_atom_site_label
_atom_site_type_symbol
_atom_site_fract_x
_atom_site_fract_y
_atom_site_fract_z
_atom_site_occupancy
Tb1 Tb 0.0000 0.0000 0.0000 1
Ti1 Ti 0.0000 0.0000 0.5000 1
Ga1 Ga 0.2500 0.2500 0.2500 1
```

---

# 12
A plane-wave DFT calculation with PBE was carried out for a relaxed structure of TbTiGa2.

offset from the most stable computed form: 0.201 eV/atom
DOS at the Fermi energy: 0.75 states/eV per atom
DFT formation energy: -5.379 kcal/mol of atoms
total magnetization: 0.000 μB per atom

```
data_TbTiGa2
_space_group_name_H-M_alt 'R -3 m'
_space_group_IT_number 166
_space_group_name_Hall '-R 3 2"'
_cell_length_a 3.4607
_cell_length_b 3.4607
_cell_length_c 24.3363
_cell_angle_alpha 90.00
_cell_angle_beta 90.00
_cell_angle_gamma 120.00
loop_
_atom_site_label
_atom_site_type_symbol
_atom_site_fract_x
_atom_site_fract_y
_atom_site_fract_z
_atom_site_occupancy
Tb1 Tb 0.0000 0.0000 0.0000 1
Ti1 Ti 0.0000 0.0000 0.5000 1
Ga1 Ga 0.0000 0.0000 0.2409 1
```